(1)
This record from Alexandria describes an optimized crystal structure of Cr2MoPt. The functional is PBE.

Lattice parameters (Å, degrees): 3.782 3.782 7.878 90.00 90.00 90.00
Space group I-4m2 (No. 119)
Inequivalent atoms, fractional coordinates:
1 Cr 0.000 0.000 0.000 [2 per cell]
2 Cr 0.000 0.500 0.250 [2 per cell]
3 Mo 0.000 0.000 0.500 [2 per cell]
4 Pt 0.000 0.500 0.750 [2 per cell]

Summary:
* total magnetic moment: 1.02 μB per formula unit
* energy of formation: -12 meV/atom
* DFT total energy: -9.042 eV per atom


(2)
This record from Alexandria describes an optimized crystal structure of Nd3TlI7. The functional is PBE.

Lattice parameters (Å, degrees): 8.5987 8.5987 7.5981 90.00 90.00 120.00
Space group P3m1 (No. 156)
Inequivalent atoms, fractional coordinates:
1 Nd 0.0162 0.5081 0.0000 [3 per cell]
2 Tl 0.3333 0.6667 0.6194 [1 per cell]
3 I 0.1651 0.3302 0.2604 [3 per cell]
4 I 0.3266 0.1633 0.7579 [3 per cell]
5 I 0.6667 0.3333 0.2560 [1 per cell]

Summary:
* total magnetic moment: 0.98 μB per formula unit
* formation energy without anion corrections: -1.0687 eV per atom
* DFT total energy: -3.571 eV per atom


(3)
This record from Alexandria describes an optimized crystal structure of InNiS2Cl. The functional is PBE.

Lattice parameters (Å, degrees): 4.577 4.577 4.681 90.00 90.00 90.00
Space group P4/mmm (No. 123)
Inequivalent atoms, fractional coordinates:
1 In 0.000 0.000 0.000 [1 per cell]
2 Ni 0.500 0.500 0.500 [1 per cell]
3 S 0.000 0.500 0.500 [2 per cell]
4 Cl 0.500 0.500 0.000 [1 per cell]

Summary:
* total magnetic moment: 0.00 μB per formula unit
* formation energy without anion corrections: -0.0466 eV per atom
* DFT total energy: -3.771 eV per atom
* E above lowest polymorph: 0 meV per atom


(4)
This record from Alexandria describes an optimized crystal structure of Ca5Sn2. The functional is PBE.

Lattice parameters (Å, degrees): 16.623 7.733 7.123 90.00 90.04 90.00
Space group C2/c (No. 15)
Inequivalent atoms, fractional coordinates:
1 Ca 0.000 0.000 0.250 [4 per cell]
2 Ca 0.087 0.345 0.000 [8 per cell]
3 Ca 0.235 0.001 0.250 [8 per cell]
4 Sn 0.113 0.251 0.500 [8 per cell]

Summary:
* total magnetic moment: 0.00 μB per formula unit
* energy of formation: -518 meV/atom
* DFT total energy: -3.091 eV per atom
* E above lowest polymorph: 0 meV per atom


(5)
This record from Alexandria describes an optimized crystal structure of Sr6AgPd2. The functional is PBE.

Lattice parameters (Å, degrees): 10.288 10.857 11.519 90.00 90.00 90.00
Space group Immm (No. 71)
Inequivalent atoms, fractional coordinates:
1 Sr 0.000 0.193 0.238 [8 per cell]
2 Sr 0.182 0.500 0.163 [8 per cell]
3 Sr 0.215 0.326 0.500 [8 per cell]
4 Ag 0.000 0.000 0.000 [2 per cell]
5 Ag 0.000 0.000 0.500 [2 per cell]
6 Pd 0.000 0.323 0.000 [4 per cell]
7 Pd 0.000 0.500 0.377 [4 per cell]

Summary:
* total magnetic moment: 0.00 μB per formula unit
* energy of formation: -363 meV/atom
* DFT total energy: -2.955 eV per atom


(6)
This record from Alexandria describes an optimized crystal structure of Pr3Sm2Ho. The functional is PBE.

Lattice parameters (Å, degrees): 8.607 3.744 12.993 90.00 90.01 90.00
Space group P2_1/m (No. 11)
Inequivalent atoms, fractional coordinates:
1 Pr 0.086 0.250 0.110 [2 per cell]
2 Pr 0.346 0.750 0.555 [2 per cell]
3 Pr 0.396 0.750 0.248 [2 per cell]
4 Sm 0.082 0.250 0.391 [2 per cell]
5 Sm 0.350 0.750 0.948 [2 per cell]
6 Ho 0.191 0.250 0.752 [2 per cell]

Summary:
* total magnetic moment: 0.00 μB per formula unit
* energy of formation: 50 meV/atom
* DFT total energy: -4.676 eV per atom
* E above lowest polymorph: 0 meV per atom


(7)
This record from Alexandria describes an optimized crystal structure of YTm12Al3. The functional is PBE.

Lattice parameters (Å, degrees): 4.735 4.735 19.267 90.00 90.00 90.00
Space group P4/mmm (No. 123)
Inequivalent atoms, fractional coordinates:
1 Y 0.000 0.000 0.000 [1 per cell]
2 Tm 0.000 0.500 0.135 [4 per cell]
3 Tm 0.000 0.500 0.379 [4 per cell]
4 Tm 0.500 0.500 0.000 [1 per cell]
5 Tm 0.500 0.500 0.258 [2 per cell]
6 Tm 0.500 0.500 0.500 [1 per cell]
7 Al 0.000 0.000 0.258 [2 per cell]
8 Al 0.000 0.000 0.500 [1 per cell]

Summary:
* total magnetic moment: 0.00 μB per formula unit
* energy of formation: -129 meV/atom
* DFT total energy: -4.588 eV per atom


(8)
This record from Alexandria describes an optimized crystal structure of Pr4Er2Cd. The functional is PBE.

Lattice parameters (Å, degrees): 16.829 3.579 8.699 90.00 117.37 90.00
Space group C2/m (No. 12)
Inequivalent atoms, fractional coordinates:
1 Pr 0.084 0.000 0.205 [4 per cell]
2 Pr 0.132 0.500 0.889 [4 per cell]
3 Er 0.217 0.000 0.638 [4 per cell]
4 Cd 0.000 0.000 0.500 [2 per cell]

Summary:
* total magnetic moment: 0.00 μB per formula unit
* energy of formation: 28 meV/atom
* DFT total energy: -4.138 eV per atom